The following is a DFT calculation (PBE) of a relaxed structure of Mo2OsAu.

Lattice parameters (Å, degrees): 4.4873 4.4873 4.4873 60.00 60.00 60.00
Sites, in units of the cell vectors:
Mo (0.0000, 0.0000, 0.0000)
Mo (0.2500, 0.2500, 0.2500)
Os (0.5000, 0.5000, 0.5000)
Au (0.7500, 0.7500, 0.7500)

- crystal system = cubic

***

The following is a DFT calculation (PBE) of a relaxed structure of MoOs2Au.

Lattice parameters (Å, degrees): 4.8742 4.8742 4.8187 99.71 99.71 33.37
Sites, in units of the cell vectors:
Mo (0.0000, 0.0000, 0.0000)
Os (0.2516, 0.2516, 0.7554)
Os (0.5166, 0.5166, 0.5401)
Au (0.7570, 0.7570, 0.2614)

- crystal system = monoclinic

***

The following is a DFT calculation (PBE) of a relaxed structure of Mo2OsAu.

Lattice parameters (Å, degrees): 2.7859 2.7859 8.2855 90.00 90.00 90.00
Sites, in units of the cell vectors:
Mo (0.0000, 0.0000, 0.0000)
Mo (0.5000, 0.5000, 0.2604)
Os (0.0000, 0.0000, 0.4743)
Au (0.5000, 0.5000, 0.7401)

- crystal system = tetragonal

***

The following is a DFT calculation (PBE) of a relaxed structure of Mo2OsAu.

Lattice parameters (Å, degrees): 9.6290 9.6290 9.6290 16.69 16.69 16.69
Sites, in units of the cell vectors:
Mo (0.0000, 0.0000, 0.0000)
Mo (0.2478, 0.2478, 0.2478)
Os (0.7416, 0.7416, 0.7416)
Au (0.4958, 0.4958, 0.4958)

- crystal system = trigonal

***

The following is a DFT calculation (PBE) of a relaxed structure of Mo2Os2Au.

Lattice parameters (Å, degrees): 7.5623 7.5623 2.8520 90.00 90.00 90.00
Sites, in units of the cell vectors:
Mo (0.1620, 0.3380, 0.0000)
Mo (0.3380, 0.8380, 0.0000)
Mo (0.6620, 0.1620, 0.0000)
Mo (0.8380, 0.6620, 0.0000)
Os (0.1316, 0.6316, 0.5000)
Os (0.3684, 0.1316, 0.5000)
Os (0.6316, 0.8684, 0.5000)
Os (0.8684, 0.3684, 0.5000)
Au (0.0000, 0.0000, 0.5000)
Au (0.5000, 0.5000, 0.5000)

- crystal system = tetragonal

***

The following is a DFT calculation (PBE) of a relaxed structure of MoOs2Au.

Lattice parameters (Å, degrees): 2.7976 3.9392 5.6392 90.00 90.00 90.00
Sites, in units of the cell vectors:
Mo (0.0000, 0.0000, 0.0000)
Os (0.5000, 0.5000, 0.2306)
Os (0.5000, 0.5000, 0.7694)
Au (0.0000, 0.0000, 0.5000)

- crystal system = orthorhombic

***

The following is a DFT calculation (PBE) of a relaxed structure of Mo4OsAu.

Lattice parameters (Å, degrees): 5.1729 5.1729 5.1729 60.00 60.00 60.00
Sites, in units of the cell vectors:
Mo (0.3766, 0.3766, 0.3766)
Mo (0.3766, 0.3766, 0.8703)
Mo (0.3766, 0.8703, 0.3766)
Mo (0.8703, 0.3766, 0.3766)
Os (0.0000, 0.0000, 0.0000)
Au (0.7500, 0.7500, 0.7500)

- crystal system = cubic

***

The following is a DFT calculation (PBE) of a relaxed structure of MoOs2Au.

Lattice parameters (Å, degrees): 9.5263 9.5263 9.5263 16.72 16.72 16.72
Sites, in units of the cell vectors:
Mo (0.0000, 0.0000, 0.0000)
Os (0.2552, 0.2552, 0.2552)
Os (0.7448, 0.7448, 0.7448)
Au (0.5000, 0.5000, 0.5000)

- crystal system = trigonal

***

Quick rundown of M_tot, same order as above: 0.000, 0.000, 0.000, 0.000, 0.000, 0.000, 0.000, 0.000 μB/cell
Quick rundown of E_form, same order as above: 0.4619, 0.3430, 0.2828, 0.2749, 0.1944, 0.3613, 0.4135, 0.2567 eV/atom